Th3As2Os | PBE | optimized geometry

Geometry as POSCAR:
```
Th3As2Os
1.0
-2.122 2.122 8.893
2.122 -2.122 8.893
2.122 2.122 -8.893
Th As Os
3 2 1
Direct
0.000 0.000 0.000
0.343 0.343 0.000
0.657 0.657 0.000
0.173 0.173 0.000
0.827 0.827 0.000
0.500 0.500 0.000
```

Output
As for the space group: I4/mmm. The formation energy is -0.9680 eV per atom. The crystal system is tetragonal.